# Ho4Er19Th6 (PBE-GGA, optimized geometry)
# - DFT formation energy (meV per atom) = 423
# - crystal system = cubic
# - E (eV for the cell shown) = -274.504
data_Ho4Er19Th6
_chemical_formula_sum 'Ho8 Er38 Th12'
_cell_length_a 12.361
_cell_length_b 12.361
_cell_length_c 12.361
_cell_angle_alpha 90.00
_cell_angle_beta 90.00
_cell_angle_gamma 90.00
_symmetry_space_group_name_H-M 'I 2 3'
_symmetry_Int_Tables_number 197
_symmetry_space_group_name_Hall 'I 2 2 3'
loop_
_atom_site_label
_atom_site_fract_x
_atom_site_fract_y
_atom_site_fract_z
Ho1 0.178 0.178 0.822
Er1 0.000 0.000 0.000
Er2 0.000 0.000 0.264
Er3 0.066 0.257 0.276
Th1 0.000 0.370 0.500